Entry from the Alexandria database: a relaxed Pa2IrOs crystal (GGA-PBE).

Computed properties:
Density (g cm⁻³): 15.645
D(E_F) (states/eV/cell): 2.374
Total moment (μB per formula unit): 0.00
DFT formation energy (meV per atom): -615
Electronic total energy (eV/cell): -41.54

```
data_Pa2IrOs
_chemical_formula_sum 'Pa2 Ir1 Os1'
_space_group_name_H-M_alt 'P 1'
_space_group_IT_number 1
_cell_length_a 6.912
_cell_length_b 6.912
_cell_length_c 6.912
_cell_angle_alpha 33.51
_cell_angle_beta 33.51
_cell_angle_gamma 33.51
loop_
_space_group_symop_operation_xyz
'x,y,z'
loop_
_atom_site_label
_atom_site_type_symbol
_atom_site_fract_x
_atom_site_fract_y
_atom_site_fract_z
_atom_site_occupancy
Pa1 Pa 0.248 0.248 0.248 1
Pa2 Pa 0.752 0.752 0.752 1
Ir1 Ir 0.000 0.000 0.000 1
Os1 Os 0.500 0.500 0.500 1
```